(1)
# Te2PtW, optimized geometry, DFT PBE-GGA
data_Te2PtW
_symmetry_space_group_name_H-M 'P 1'
_symmetry_Int_Tables_number 1
_cell_length_a 4.7400
_cell_length_b 4.7400
_cell_length_c 5.5833
_cell_angle_alpha 81.31
_cell_angle_beta 81.31
_cell_angle_gamma 41.85
loop_
_symmetry_equiv_pos_as_xyz
'x,y,z'
loop_
_atom_site_label
_atom_site_fract_x
_atom_site_fract_y
_atom_site_fract_z
Te1 0.0276 0.0276 0.9827
Te2 0.4724 0.4724 0.5173
Pt1 0.2500 0.2500 0.2500
W1 0.7500 0.7500 0.7500
# Uncorrected formation energy in meV per atom: 442
# Energy above the most stable polymorph in this dataset in meV/atom: 392

---

(2)
# Pu2BiRh, optimized geometry, DFT PBE-GGA
data_Pu2BiRh
_symmetry_space_group_name_H-M 'P 1'
_symmetry_Int_Tables_number 1
_cell_length_a 3.9145
_cell_length_b 3.9145
_cell_length_c 6.1434
_cell_angle_alpha 90.00
_cell_angle_beta 90.00
_cell_angle_gamma 90.00
loop_
_symmetry_equiv_pos_as_xyz
'x,y,z'
loop_
_atom_site_label
_atom_site_fract_x
_atom_site_fract_y
_atom_site_fract_z
Bi1 0.5000 0.5000 0.5000
Pu1 0.0000 0.0000 0.2277
Pu2 0.0000 0.0000 0.7723
Rh1 0.5000 0.5000 0.0000
# Energy above the most stable polymorph in this dataset in meV/atom: 0
# Formation energy in eV/atom: -0.3362

---

Taking the records one at a time from the top gives spin magnetization values of 0.000 10.697 μB per formula unit.